An optimized crystal structure of PmNd3Y2Se6. Source: Alexandria via LeMat-Bulk, functional PBE-GGA.

It has space group C2/m (No. 12), with a = 7.193 Å, b = 12.522 Å, c = 7.274 Å, α = 90.00°, β = 109.34° and γ = 90.00°. Symmetry generates all atoms from Pm at (0.000, 0.000, 0.000), Nd at (0.000, 0.162, 0.500), Nd at (0.000, 0.500, 0.500), Y at (0.000, 0.334, 0.000), Se at (0.239, 0.500, 0.238) and Se at (0.250, 0.170, 0.241).

For the uncorrected formation energy, the calculation gives -1.818 eV/atom. The value obtained for the density of states at the Fermi level is 11.44 states/eV/cell. The calculated total energy comes out at -6.225 eV/atom.


An optimized crystal structure of Al2V2W. Source: Alexandria via LeMat-Bulk, functional PBE-GGA.

It has space group P4/mbm (No. 127), with a = 6.759 Å, b = 6.759 Å, c = 3.205 Å, α = 90.00°, β = 90.00° and γ = 90.00°. Symmetry generates all atoms from Al at (0.129, 0.371, 0.000), V at (0.173, 0.673, 0.500) and W at (0.000, 0.000, 0.000).

The value obtained for the density of states at the Fermi level is 5.51 states/eV/cell. For the energy above the most stable polymorph in this dataset, the calculation gives 0.000 eV per atom. The calculated total energy comes out at -7.752 eV/atom.


An optimized crystal structure of CaPm4Y5. Source: Alexandria via LeMat-Bulk, functional PBE-GGA.

It has space group P4/mmm (No. 123), with a = 3.649 Å, b = 3.649 Å, c = 25.576 Å, α = 90.00°, β = 90.00° and γ = 90.00°. Symmetry generates all atoms from Ca at (0.000, 0.000, 0.000), Pm at (0.000, 0.000, 0.204), Pm at (0.000, 0.000, 0.401), Y at (0.500, 0.500, 0.109), Y at (0.500, 0.500, 0.303) and Y at (0.500, 0.500, 0.500).

The value obtained for the density of states at the Fermi level is 15.69 states/eV/cell. The calculated total energy comes out at -5.297 eV/atom.


An optimized crystal structure of Y3NbP. Source: Alexandria via LeMat-Bulk, functional PBE-GGA.

It has space group Pm-3m (No. 221), with a = 5.263 Å, b = 5.263 Å, c = 5.263 Å, α = 90.00°, β = 90.00° and γ = 90.00°. Symmetry generates all atoms from Y at (0.000, 0.000, 0.500), Nb at (0.500, 0.500, 0.500) and P at (0.000, 0.000, 0.000).

The value obtained for the density of states at the Fermi level is 7.12 states/eV/cell. For the energy above the most stable polymorph in this dataset, the calculation gives 0.000 eV per atom. The calculated total energy comes out at -6.987 eV/atom.


An optimized crystal structure of Sm4Bi3Te. Source: Alexandria via LeMat-Bulk, functional PBE-GGA.

It has space group Cmmm (No. 65), with a = 9.055 Å, b = 12.809 Å, c = 4.539 Å, α = 90.00°, β = 90.00° and γ = 90.00°. Symmetry generates all atoms from Sm at (0.000, 0.249, 0.000), Sm at (0.248, 0.000, 0.500), Bi at (0.000, 0.000, 0.000), Bi at (0.250, 0.250, 0.500) and Te at (0.000, 0.500, 0.000).

For the uncorrected formation energy, the calculation gives -1.065 eV/atom. The value obtained for the density of states at the Fermi level is 3.27 states/eV/cell. For the energy above the most stable polymorph in this dataset, the calculation gives 0.000 eV per atom. The calculated total energy comes out at -5.272 eV/atom.


An optimized crystal structure of AlSb2Rh. Source: Alexandria via LeMat-Bulk, functional PBE-GGA.

It has space group P4mm (No. 99), with a = 3.241 Å, b = 3.241 Å, c = 8.071 Å, α = 90.00°, β = 90.00° and γ = 90.00°. Symmetry generates all atoms from Al at (0.000, 0.000, 0.000), Sb at (0.000, 0.000, 0.366), Sb at (0.500, 0.500, 0.759) and Rh at (0.500, 0.500, 0.142).

For the uncorrected formation energy, the calculation gives -0.267 eV/atom. The value obtained for the density of states at the Fermi level is 1.65 states/eV/cell. The calculated total energy comes out at -5.102 eV/atom.


An optimized crystal structure of Pr6HC2O3. Source: Alexandria via LeMat-Bulk, functional PBE-GGA.

It has space group C2/m (No. 12), with a = 6.447 Å, b = 11.173 Å, c = 6.401 Å, α = 90.00°, β = 109.70° and γ = 90.00°. Symmetry generates all atoms from Pr at (0.234, 0.000, 0.258), Pr at (0.240, 0.175, 0.747), H at (0.000, 0.500, 0.000), C at (0.000, 0.166, 0.000), O at (0.000, 0.000, 0.500) and O at (0.000, 0.326, 0.500).

The value obtained for the density of states at the Fermi level is 6.19 states/eV/cell. The calculated total energy comes out at -6.941 eV/atom.


An optimized crystal structure of NaHgIN2. Source: Alexandria via LeMat-Bulk, functional PBE-GGA.

It has space group P4/mmm (No. 123), with a = 4.738 Å, b = 4.738 Å, c = 6.651 Å, α = 90.00°, β = 90.00° and γ = 90.00°. Symmetry generates all atoms from Na at (0.000, 0.000, 0.000), Hg at (0.500, 0.500, 0.500), I at (0.000, 0.000, 0.500) and N at (0.000, 0.500, 0.000).

For the uncorrected formation energy, the calculation gives 1.598 eV/atom. The value obtained for the density of states at the Fermi level is 2.89 states/eV/cell. For the energy above the most stable polymorph in this dataset, the calculation gives 0.370 eV per atom. The calculated total energy comes out at -2.367 eV/atom.